# 1
Below is FeMoHIr2 after structural relaxation, with properties calculated at the PBE-GGA level.

The structure in POSCAR format:
```
FeMoHIr2
1.0
-1.8499 2.6748 -2.1024
1.1735 -1.7446 -3.2521
-3.1658 -2.1717 0.0227
H Fe Ir Mo
1 1 2 1
Direct
0.0000 0.0000 0.0000
0.0000 0.0000 0.5000
0.5000 0.0000 0.0000
0.0000 0.5000 0.0000
0.5000 0.5000 0.5000
```

Calculated values
Its energy above the most stable polymorph in this dataset is 0.00 eV per formula unit. The space group is P4/mmm. Its total magnetization is 0.01 μB per atom. The value obtained for the electronic total energy is -40.5 eV per formula unit.


# 2
Below is NbFeHIr2 after structural relaxation, with properties calculated at the PBE-GGA level.

The structure in POSCAR format:
```
NbFeHIr2
1.0
-1.8769 -1.6182 -3.0222
2.7456 -2.7727 -0.2206
-2.0405 -2.2157 2.4536
Nb Ir H Fe
1 2 1 1
Direct
0.5000 0.5000 0.5000
0.0000 0.5000 0.0000
0.5000 0.0000 0.0000
0.0000 0.0000 0.0000
0.0000 0.0000 0.5000
```

Calculated values
Its energy above the most stable polymorph in this dataset is 0.00 eV per formula unit. The space group is P4/mmm. Its total magnetization is 0.00 μB per atom. The value obtained for the electronic total energy is -40.9 eV per formula unit.